Density functional theory data (PBE) for an optimized crystal structure of K2InSi4HO11.

Cell: 8.5184 11.6061 11.8245 Å, 67.70 90.00 90.00°
Element x y z (fractional)
1 K 0.7500 0.9168 0.5832
2 K 0.2500 0.9771 0.0275
3 K 0.7500 0.4313 0.9394
4 K 0.7500 0.5309 0.5422
5 K 0.2500 0.4691 0.4578
6 K 0.2500 0.5687 0.0606
7 K 0.7500 0.0229 0.9725
8 K 0.2500 0.0832 0.4168
9 In 0.9929 0.7112 0.2125
10 In 0.5071 0.7112 0.2125
11 In 0.4929 0.2888 0.7875
12 In 0.0071 0.2888 0.7875
13 Si 0.9365 0.7526 0.8958
14 Si 0.5635 0.7526 0.8958
15 Si 0.9305 0.9879 0.2538
16 Si 0.5695 0.9879 0.2538
17 Si 0.4352 0.7772 0.4684
18 Si 0.0648 0.7772 0.4684
19 Si 0.4409 0.6091 0.7367
20 Si 0.0591 0.6091 0.7367
21 Si 0.9409 0.3909 0.2633
22 Si 0.5591 0.3909 0.2633
23 Si 0.9352 0.2228 0.5316
24 Si 0.5648 0.2228 0.5316
25 Si 0.4305 0.0121 0.7462
26 Si 0.0695 0.0121 0.7462
27 Si 0.4365 0.2474 0.1042
28 Si 0.0635 0.2474 0.1042
29 H 0.2500 0.7410 0.2929
30 H 0.2500 0.4252 0.7406
31 H 0.7500 0.5748 0.2594
32 H 0.7500 0.2590 0.7071
33 O 0.2500 0.9578 0.7556
34 O 0.9500 0.8910 0.7829
35 O 0.5500 0.8910 0.7829
36 O 0.9650 0.9085 0.4019
37 O 0.5350 0.9085 0.4019
38 O 0.7500 0.7124 0.9004
39 O 0.2500 0.8227 0.4624
40 O 0.9600 0.9085 0.1710
41 O 0.5400 0.9085 0.1710
42 O 0.4692 0.6502 0.8541
43 O 0.0308 0.6502 0.8541
44 O 0.0055 0.7290 0.6121
45 O 0.4945 0.7290 0.6121
46 O 0.2500 0.5877 0.7277
47 O 0.4636 0.6755 0.4096
48 O 0.0364 0.6755 0.4096
49 O 0.2500 0.7413 0.2100
50 O 0.9635 0.4868 0.7485
51 O 0.5365 0.4868 0.7485
52 O 0.7500 0.6619 0.2530
53 O 0.0079 0.7524 0.0200
54 O 0.4921 0.7524 0.0200
55 O 0.9921 0.2476 0.9800
56 O 0.5079 0.2476 0.9800
57 O 0.2500 0.3381 0.7470
58 O 0.4635 0.5132 0.2515
59 O 0.0365 0.5132 0.2515
60 O 0.7500 0.2587 0.7900
61 O 0.9636 0.3245 0.5904
62 O 0.5364 0.3245 0.5904
63 O 0.7500 0.4123 0.2723
64 O 0.9945 0.2710 0.3879
65 O 0.5055 0.2710 0.3879
66 O 0.9692 0.3498 0.1459
67 O 0.5308 0.3498 0.1459
68 O 0.4600 0.0915 0.8290
69 O 0.0400 0.0915 0.8290
70 O 0.7500 0.1773 0.5376
71 O 0.2500 0.2876 0.0996
72 O 0.4650 0.0915 0.5981
73 O 0.0350 0.0915 0.5981
74 O 0.4500 0.1090 0.2171
75 O 0.0500 0.1090 0.2171
76 O 0.7500 0.0422 0.2444

Crystal system: monoclinic



Density functional theory data (PBE) for an optimized crystal structure of K2InPH.

Cell: 5.2238 6.7860 8.0732 Å, 106.17 90.00 90.00°
Element x y z (fractional)
1 K 0.7500 0.9106 0.6378
2 K 0.7500 0.7309 0.0524
3 K 0.2500 0.0894 0.3622
4 K 0.2500 0.2691 0.9476
5 In 0.2500 0.5533 0.6539
6 In 0.7500 0.4467 0.3461
7 P 0.2500 0.5874 0.3226
8 P 0.7500 0.4126 0.6774
9 H 0.2500 0.8502 0.7971
10 H 0.7500 0.1498 0.2029

Crystal system: monoclinic



Density functional theory data (PBE) for an optimized crystal structure of KInP2H.

Cell: 4.4193 4.7864 4.4193 Å, 90.00 90.00 90.00°
Element x y z (fractional)
1 P 0.0000 0.0000 0.5000
2 P 0.5000 0.0000 0.0000
3 K 0.5000 0.5000 0.5000
4 H 0.0000 0.0000 0.0000
5 In 0.0000 0.5000 0.0000

Crystal system: tetragonal



Density functional theory data (PBE) for an optimized crystal structure of KRb2InH.

Cell: 5.9011 5.9011 5.6491 Å, 90.00 90.00 90.00°
Element x y z (fractional)
1 H 0.0000 0.0000 0.0000
2 K 0.0000 0.0000 0.5000
3 Rb 0.0000 0.5000 0.0000
4 Rb 0.5000 0.0000 0.0000
5 In 0.5000 0.5000 0.5000

Crystal system: tetragonal



Ordered uncorrected energy results: -6.86, -2.92, -3.11, -1.81; unit eV per atom.